1.
Crystalline PmHfNb at its relaxed geometry. Source: the Open Quantum Materials Database, functional GGA-PBE.

Cell lengths 6.8337, 6.8337, 6.8337 Å; angles 90.00, 90.00, 90.00 degrees
Space group F-43m (No. 216)
Inequivalent atoms, fractional coordinates:
Pm (0.0000, 0.0000, 0.0000) (multiplicity 4)
Hf (0.0000, 0.0000, 0.5000) (multiplicity 4)
Nb (0.2500, 0.2500, 0.7500) (multiplicity 4)

Calculated values
As for the raw total energy: -7.45 eV per atom. The size of the total moment is 0.0 μB/f.u. The formation energy is 813 meV/atom. Its excess energy over the best structure of this formula in the dataset is 0.00 eV per formula unit.

---

2.
Crystalline K2DyTe2 at its relaxed geometry. Source: the Open Quantum Materials Database, functional GGA-PBE.

Cell lengths 8.3009, 14.3574, 7.2038 Å; angles 90.00, 90.00, 90.00 degrees
Space group Ibam (No. 72)
Inequivalent atoms, fractional coordinates:
K (0.1494, 0.1488, 0.0000) (multiplicity 8)
Dy (0.0000, 0.5000, 0.2500) (multiplicity 4)
Te (0.2219, 0.3907, 0.0000) (multiplicity 8)

Calculated values
As for the raw total energy: -3.62 eV per atom. The size of the total moment is 1.0 μB/f.u.

---

3.
Crystalline GdBiPd at its relaxed geometry. Source: the Open Quantum Materials Database, functional GGA-PBE.

Cell lengths 6.0703, 4.4536, 11.1492 Å; angles 90.00, 90.00, 90.00 degrees
Space group Pnma (No. 62)
Inequivalent atoms, fractional coordinates:
Gd (0.1989, 0.2500, 0.1302) (multiplicity 4)
Bi (0.1936, 0.2500, 0.8403) (multiplicity 4)
Pd (0.1269, 0.2500, 0.4571) (multiplicity 4)

Calculated values
As for the raw total energy: -5.31 eV per atom. The size of the total moment is 0.0 μB/f.u.

---

4.
Crystalline Cs3RbCd2Pb2 at its relaxed geometry. Source: the Open Quantum Materials Database, functional GGA-PBE.

Cell lengths 7.4368, 7.0658, 7.5136 Å; angles 90.00, 106.78, 90.00 degrees
Space group Pm (No. 6)
Inequivalent atoms, fractional coordinates:
Cs (0.0000, 0.0000, 0.0000) (multiplicity 1)
Cs (0.0476, 0.5000, 0.3601) (multiplicity 1)
Cs (0.3454, 0.0000, 0.6590) (multiplicity 1)
Rb (0.7019, 0.5000, 0.7024) (multiplicity 1)
Cd (0.5236, 0.2500, 0.1831) (multiplicity 2)
Pb (0.2738, 0.5000, 0.9183) (multiplicity 1)
Pb (0.7822, 0.0000, 0.4395) (multiplicity 1)

Calculated values
As for the raw total energy: -1.77 eV per atom.

---

5.
Crystalline PaInNO at its relaxed geometry. Source: the Open Quantum Materials Database, functional GGA-PBE.

Cell lengths 3.6660, 3.6660, 9.0383 Å; angles 90.00, 90.00, 90.00 degrees
Space group P4/nmm (No. 129, origin choice 2)
Inequivalent atoms, fractional coordinates:
Pa (0.2500, 0.2500, 0.1630) (multiplicity 2)
In (0.2500, 0.7500, 0.5000) (multiplicity 2)
N (0.2500, 0.2500, 0.7663) (multiplicity 2)
O (0.2500, 0.7500, 0.0000) (multiplicity 2)

Calculated values
As for the raw total energy: -7.00 eV per atom. The size of the total moment is 0.0 μB/f.u. Its excess energy over the best structure of this formula in the dataset is 1.66 eV per formula unit.

---

6.
Crystalline Zr2Sb2OsPt at its relaxed geometry. Source: the Open Quantum Materials Database, functional GGA-PBE.

Cell lengths 6.3853, 6.3853, 12.7395 Å; angles 90.00, 90.00, 90.00 degrees
Space group I-42d (No. 122)
Inequivalent atoms, fractional coordinates:
Zr (0.2489, 0.2500, 0.1250) (multiplicity 8)
Sb (0.2402, 0.7500, 0.1250) (multiplicity 8)
Os (0.0000, 0.0000, 0.0000) (multiplicity 4)
Pt (0.0000, 0.0000, 0.5000) (multiplicity 4)

Calculated values
As for the raw total energy: -7.90 eV per atom. The size of the total moment is 0.0 μB/f.u.

---

Question: Look up the raw total energy of the third one.
Answer: -5.31 eV per atom

---

Question: What is the raw total energy in the third record?
Answer: -5.31 eV per atom

---

Question: Which value of raw total energy does entry 6 give?
Answer: -7.90 eV per atom